Record 1
Below is an optimized crystal structure of CaTe2Ir, with properties calculated at the PBEsol level.

Properties
formation energy without anion corrections = -268.1 meV/atom
final energy = -5.02 eV/atom
space group = R3m (160)

Cell and atoms, written as CIF:
```
data_CaTe2Ir
_chemical_formula_sum 'Ca1 Te2 Ir1'
_symmetry_space_group_name_H-M 'P 1'
_symmetry_Int_Tables_number 1
_symmetry_space_group_name_Hall 'P 1'
_cell_length_a 3.9561
_cell_length_b 3.9561
_cell_length_c 8.2961
_cell_angle_alpha 76.21
_cell_angle_beta 76.21
_cell_angle_gamma 60.00
loop_
_atom_site_label
_atom_site_type_symbol
_atom_site_fract_x
_atom_site_fract_y
_atom_site_fract_z
_atom_site_occupancy
Ca1 Ca 0.5080 0.5080 0.4760 1
Ir1 Ir 0.2635 0.2635 0.2095 1
Te1 Te 0.7537 0.7537 0.7390 1
Te2 Te 0.9749 0.9749 0.0754 1
```

---

Record 2
Below is an optimized crystal structure of LaReBr2, with properties calculated at the PBEsol level.

Properties
formation energy without anion corrections = 454.0 meV/atom
final energy = -5.15 eV/atom
space group = F-43m (216)

Cell and atoms, written as CIF:
```
data_LaReBr2
_chemical_formula_sum 'La1 Re1 Br2'
_symmetry_space_group_name_H-M 'P 1'
_symmetry_Int_Tables_number 1
_symmetry_space_group_name_Hall 'P 1'
_cell_length_a 5.1768
_cell_length_b 5.1768
_cell_length_c 5.1768
_cell_angle_alpha 60.00
_cell_angle_beta 60.00
_cell_angle_gamma 60.00
loop_
_atom_site_label
_atom_site_type_symbol
_atom_site_fract_x
_atom_site_fract_y
_atom_site_fract_z
_atom_site_occupancy
La1 La 0.5000 0.5000 0.5000 1
Br1 Br 0.0000 0.0000 0.0000 1
Br2 Br 0.7500 0.7500 0.7500 1
Re1 Re 0.2500 0.2500 0.2500 1
```

---

Record 3
Below is an optimized crystal structure of Sr2ScTa, with properties calculated at the PBEsol level.

Properties
final energy = -4.78 eV/atom
ΔH_f (0 K) = 0.93 eV/atom
space group = P4/mmm (123)

Cell and atoms, written as CIF:
```
data_Sr2ScTa
_chemical_formula_sum 'Sr2 Sc1 Ta1'
_symmetry_space_group_name_H-M 'P 1'
_symmetry_Int_Tables_number 1
_symmetry_space_group_name_Hall 'P 1'
_cell_length_a 4.6531
_cell_length_b 4.6531
_cell_length_c 5.2356
_cell_angle_alpha 90.00
_cell_angle_beta 90.00
_cell_angle_gamma 90.00
loop_
_atom_site_label
_atom_site_type_symbol
_atom_site_fract_x
_atom_site_fract_y
_atom_site_fract_z
_atom_site_occupancy
Sr1 Sr 0.0000 0.5000 0.0000 1
Sr2 Sr 0.5000 0.0000 0.0000 1
Ta1 Ta 0.5000 0.5000 0.5000 1
Sc1 Sc 0.0000 0.0000 0.5000 1
```

---

Record 4
Below is an optimized crystal structure of CdCu2Br, with properties calculated at the PBEsol level.

Properties
formation energy without anion corrections = 314.5 meV/atom
final energy = -2.62 eV/atom
space group = Pmmm (47)

Cell and atoms, written as CIF:
```
data_CdCu2Br
_chemical_formula_sum 'Cd1 Cu2 Br1'
_symmetry_space_group_name_H-M 'P 1'
_symmetry_Int_Tables_number 1
_symmetry_space_group_name_Hall 'P 1'
_cell_length_a 3.4283
_cell_length_b 3.7936
_cell_length_c 5.7182
_cell_angle_alpha 90.00
_cell_angle_beta 90.00
_cell_angle_gamma 90.00
loop_
_atom_site_label
_atom_site_type_symbol
_atom_site_fract_x
_atom_site_fract_y
_atom_site_fract_z
_atom_site_occupancy
Br1 Br 0.5000 0.5000 0.0000 1
Cd1 Cd 0.0000 0.5000 0.5000 1
Cu1 Cu 0.0000 0.0000 0.0000 1
Cu2 Cu 0.5000 0.0000 0.5000 1
```

---

Record 5
Below is an optimized crystal structure of Ca2HfZrFe, with properties calculated at the PBEsol level.

Properties
final energy = -5.01 eV/atom
ΔH_f (0 K) = 1.55 eV/atom
space group = P4/mmm (123)

Cell and atoms, written as CIF:
```
data_Ca2HfZrFe
_chemical_formula_sum 'Ca2 Hf1 Zr1 Fe1'
_symmetry_space_group_name_H-M 'P 1'
_symmetry_Int_Tables_number 1
_symmetry_space_group_name_Hall 'P 1'
_cell_length_a 5.0170
_cell_length_b 5.4405
_cell_length_c 5.4405
_cell_angle_alpha 90.00
_cell_angle_beta 90.00
_cell_angle_gamma 90.00
loop_
_atom_site_label
_atom_site_type_symbol
_atom_site_fract_x
_atom_site_fract_y
_atom_site_fract_z
_atom_site_occupancy
Ca1 Ca 0.0000 0.5000 0.0000 1
Ca2 Ca 0.0000 0.0000 0.5000 1
Zr1 Zr 0.0000 0.0000 0.0000 1
Fe1 Fe 0.5000 0.5000 0.5000 1
Hf1 Hf 0.5000 0.0000 0.0000 1
```

---

Record 6
Below is an optimized crystal structure of V6Ga7, with properties calculated at the PBEsol level.

Properties
final energy = -6.46 eV/atom
ΔH_f (0 K) = -0.22 eV/atom
space group = Cm (8)

Cell and atoms, written as CIF:
```
data_V6Ga7
_chemical_formula_sum 'V12 Ga14'
_symmetry_space_group_name_H-M 'P 1'
_symmetry_Int_Tables_number 1
_symmetry_space_group_name_Hall 'P 1'
_cell_length_a 7.7426
_cell_length_b 7.8140
_cell_length_c 7.8140
_cell_angle_alpha 109.13
_cell_angle_beta 109.13
_cell_angle_gamma 109.13
loop_
_atom_site_label
_atom_site_type_symbol
_atom_site_fract_x
_atom_site_fract_y
_atom_site_fract_z
_atom_site_occupancy
Ga1 Ga 0.0262 0.3637 0.7362 1
Ga2 Ga 0.7346 0.3517 0.0116 1
Ga3 Ga 0.6619 0.6439 0.3854 1
Ga4 Ga 0.3481 0.0129 0.7451 1
Ga5 Ga 0.6342 0.0000 0.6370 1
Ga6 Ga 0.6619 0.3854 0.6439 1
Ga7 Ga 0.6342 0.6370 0.0000 1
Ga8 Ga 0.7346 0.0116 0.3517 1
Ga9 Ga 0.3697 0.6454 0.6454 1
Ga10 Ga 0.2686 0.6067 0.2565 1
Ga11 Ga 0.0262 0.7362 0.3637 1
Ga12 Ga 0.3481 0.7451 0.0129 1
Ga13 Ga 0.6139 0.2667 0.2667 1
Ga14 Ga 0.2686 0.2565 0.6067 1
V1 V 0.3511 0.3449 0.0052 1
V2 V 0.3415 0.3426 0.3426 1
V3 V 0.2027 0.0021 0.0021 1
V4 V 0.9912 0.6581 0.9982 1
V5 V 0.6562 0.9917 0.9917 1
V6 V 0.7802 0.7854 0.7854 1
V7 V 0.9893 0.9908 0.2046 1
V8 V 0.9893 0.2046 0.9908 1
V9 V 0.3511 0.0052 0.3449 1
V10 V 0.0055 0.3495 0.3495 1
V11 V 0.0199 0.6641 0.6641 1
V12 V 0.9912 0.9982 0.6581 1
```

---

What is the formula in the third record? Sr2ScTa

---

The lowest final energy belongs to which entry? V6Ga7

---

Please write out number 2 again, unchanged.
Below is an optimized crystal structure of LaReBr2, with properties calculated at the PBEsol level.

Properties
formation energy without anion corrections = 454.0 meV/atom
final energy = -5.15 eV/atom
space group = F-43m (216)

Cell and atoms, written as CIF:
```
data_LaReBr2
_chemical_formula_sum 'La1 Re1 Br2'
_symmetry_space_group_name_H-M 'P 1'
_symmetry_Int_Tables_number 1
_symmetry_space_group_name_Hall 'P 1'
_cell_length_a 5.1768
_cell_length_b 5.1768
_cell_length_c 5.1768
_cell_angle_alpha 60.00
_cell_angle_beta 60.00
_cell_angle_gamma 60.00
loop_
_atom_site_label
_atom_site_type_symbol
_atom_site_fract_x
_atom_site_fract_y
_atom_site_fract_z
_atom_site_occupancy
La1 La 0.5000 0.5000 0.5000 1
Br1 Br 0.0000 0.0000 0.0000 1
Br2 Br 0.7500 0.7500 0.7500 1
Re1 Re 0.2500 0.2500 0.2500 1
```